[1]
## Sb8Ir2Pd (PBE)

Data for a relaxed structure of Sb8Ir2Pd.

Output
- D(E_F): 6.73 states/eV/f.u.
- Energy relative to the elements, uncorrected: -0.055 eV/atom

Unit cell a=5.2131 b=7.6016 c=8.1177 alpha=68.63 beta=88.19 gamma=89.60
Last column: nearest neighbours and their distance in Å.
Space group P-1 (No. 2)
Symmetry-distinct sites (fractional):
Sb1 0.1656 0.2023 0.1197 [2 per cell]  1 Ir 2.66, 1 Pd 2.73, 1 Sb 2.94
Sb2 0.1983 0.6178 0.7079 [2 per cell]  1 Ir 2.70, 1 Pd 2.75, 2 Sb 2.94
Sb3 0.2054 0.6732 0.1799 [2 per cell]  1 Ir 2.61, 1 Pd 2.73
Sb4 0.2497 0.1149 0.5587 [2 per cell]  3 Ir 2.63-2.73
Ir1 0.2611 0.8755 0.3771 [2 per cell]  6 Sb 2.61-2.73
Pd1 0.5000 0.5000 0.0000 [1 per cell]  6 Sb 2.73-2.75

[2]
## La2FeBiC (PBE)

Data for a relaxed structure of La2FeBiC.

Output
- D(E_F): 3.34 states/eV/f.u.
- ΔE_f: -0.333 eV/atom

Unit cell a=5.5058 b=5.5058 c=3.8510 alpha=90.00 beta=90.00 gamma=90.00
Last column: nearest neighbours and their distance in Å.
Space group P4/mmm (No. 123)
Symmetry-distinct sites (fractional):
La1 0.0000 0.5000 0.0000 [2 per cell]  2 C 2.75
Fe1 0.0000 0.0000 0.5000 [1 per cell]  2 C 1.93
Bi1 0.5000 0.5000 0.5000 [1 per cell]  8 La 3.36
C1 0.0000 0.0000 0.0000 [1 per cell]  2 Fe 1.93

[3]
## LaTmZnTc (PBE)

Data for a relaxed structure of LaTmZnTc.

Output
- D(E_F): 2.00 states/eV/f.u.
- ΔE_f: -0.084 eV/atom

Unit cell a=7.0915 b=7.0915 c=7.0915 alpha=90.00 beta=90.00 gamma=90.00
Last column: nearest neighbours and their distance in Å.
Space group F-43m (No. 216)
Symmetry-distinct sites (fractional):
La1 0.0000 0.0000 0.0000 [4 per cell]  4 Zn 3.07, 4 Tc 3.07
Tm1 0.0000 0.0000 0.5000 [4 per cell]  4 Tc 3.07, 4 Zn 3.07
Zn1 0.2500 0.2500 0.7500 [4 per cell]  4 Tm 3.07, 4 La 3.07
Tc1 0.2500 0.2500 0.2500 [4 per cell]  4 La 3.07, 4 Tm 3.07

For the records above, the corresponding energy values read -56.5, -33.1, -21.4 eV/f.u..